Material: Sb2Au
Method: DFT, meta-GGA SCAN
State: PBEsol geometry

Crystal system: monoclinic
Symmetry: C2/m, No. 12
E_form (uncorrected): -0.1166 eV/atom
Total magnetic moment: 0.000 μB/atom
N(E_F): 0.463 states/eV per atom
Theoretical density: 9.96 Mg/m³

Cell lengths 4.1084, 6.3915, 6.5766 Å; angles 66.77, 71.80, 71.25 degrees
Closest atoms and distances in Å follow each position.
Atoms (fractional coordinates):
Sb (0.0707, 0.1207, 0.7380)  2 Au 2.75, 1 Sb 2.98
Sb (0.7578, 0.7177, 0.7667)  3 Au 2.77-2.90, 1 Sb 2.98
Sb (0.2422, 0.2823, 0.2333)  3 Au 2.77-2.90, 1 Sb 2.98
Sb (0.9293, 0.8793, 0.2620)  2 Au 2.75, 1 Sb 2.98
Au (0.4181, 0.4207, 0.7430)  5 Sb 2.75-2.90, 1 Au 2.87
Au (0.5819, 0.5793, 0.2570)  5 Sb 2.75-2.90, 1 Au 2.87